CsKZnF4: relaxed, GGA-PBE.

Lattice parameters (Å, degrees): 7.090 7.090 7.090 60.00 60.00 60.00
Positions (direct):
Cs 0.000 0.000 0.000
K 0.750 0.750 0.750
Zn 0.500 0.500 0.500
F 0.168 0.611 0.611
F 0.611 0.168 0.611
F 0.611 0.611 0.168
F 0.611 0.611 0.611

Values from the calculation:
Spin magnetization (Bohr magnetons per cell): 0.1
E (Ry per atom): -0.2905
SG: F-43m (216)
Raw formation energy (eV per atom): -2.4230